Record 1
A PBEsol-optimized structure of BaTaPt2, computed with SCAN.

Properties
DFT formation energy: 0.369 eV/atom
volume: 76.0 Å³/f.u.
magnetic moment: 0.0 Bohr magnetons per cell

a b c (Å): 6.724 6.724 6.724
angles (deg): 90.00 90.00 90.00
Space group F-43m (No. 216)
Asymmetric unit:
Ba 0.000 0.000 0.000 x4
Ta 0.250 0.250 0.750 x4
Pt 0.000 0.000 0.500 x4
Pt 0.250 0.250 0.250 x4



Record 2
A PBEsol-optimized structure of BaTe2Pt, computed with SCAN.

Properties
volume: 108.4 Å³/f.u.
ΔE_f (raw): -198 meV per atom
magnetic moment: 0.0 Bohr magnetons per cell

a b c (Å): 7.569 7.569 7.569
angles (deg): 90.00 90.00 90.00
Space group F-43m (No. 216)
Asymmetric unit:
Ba 0.000 0.000 0.000 x4
Te 0.000 0.000 0.500 x4
Te 0.250 0.250 0.250 x4
Pt 0.250 0.250 0.750 x4



Record 3
A PBEsol-optimized structure of BaTe2Pt, computed with SCAN.

Properties
volume: 119.9 Å³/f.u.
ΔE_f (raw): -1058 meV per atom
magnetic moment: 0.0 Bohr magnetons per cell

a b c (Å): 4.067 6.158 9.577
angles (deg): 90.00 90.00 90.00
Space group Immm (No. 71)
Asymmetric unit:
Ba 0.000 0.000 0.000 x2
Te 0.000 0.500 0.176 x4
Pt 0.000 0.000 0.500 x2



Record 4
A PBEsol-optimized structure of BaTePt, computed with SCAN.

Properties
volume: 85.0 Å³/f.u.
ΔE_f (raw): -1301 meV per atom
magnetic moment: 0.0 Bohr magnetons per cell

a b c (Å): 4.6175 4.6175 4.6032
angles (deg): 90.00 90.00 120.00
Space group P-6m2 (No. 187)
Asymmetric unit:
Ba 0.0000 0.0000 0.0000 x1
Te 0.6667 0.3333 0.5000 x1
Pt 0.3333 0.6667 0.5000 x1